No. 1
An optimized crystal structure of Pr5SmDy2Sc. Source: Alexandria, functional PBE.

a = 5.4243 Å, b = 11.3465 Å, c = 10.3441 Å
α = 90.00°, β = 90.00°, γ = 103.83°
Sites, in units of the cell vectors:
Pr 0.9988 0.9975 0.0083
Pr 0.5000 0.0000 0.7583
Dy 0.8841 0.7682 0.2604
Pr 0.5000 0.0000 0.2583
Pr 0.3732 0.7464 0.0082
Dy 0.8840 0.7680 0.7562
Sc 0.2135 0.4270 0.0082
Dy 0.1160 0.2320 0.2562
Pr 0.2785 0.5569 0.3204
Dy 0.1159 0.2318 0.7604
Pr 0.2784 0.5567 0.6959
Sm 0.3984 0.7969 0.5083
Pr 0.7216 0.4433 0.1959
Sc 0.7865 0.5730 0.5082
Sm 0.6016 0.2031 0.0083
Pr 0.6268 0.2536 0.5082
Pr 0.0012 0.0025 0.5083
Pr 0.7215 0.4431 0.8204

Computed properties:
SG = Cmcm

=====

No. 2
An optimized crystal structure of Pr3Sm6Dy2Sc. Source: Alexandria, functional PBE.

a = 6.2578 Å, b = 6.2578 Å, c = 11.9390 Å
α = 95.02°, β = 95.02°, γ = 120.02°
Sites, in units of the cell vectors:
Sm 0.7505 0.7505 0.2428
Dy 0.3335 0.6665 0.0000
Dy 0.6665 0.3335 0.0000
Pr 0.1666 0.8334 0.5000
Sm 0.5890 0.9192 0.7576
Sc 0.0000 0.0000 0.0000
Sm 0.4110 0.0808 0.2424
Sm 0.2495 0.2495 0.7572
Pr 0.5000 0.5000 0.5000
Sm 0.9192 0.5890 0.7576
Pr 0.8334 0.1666 0.5000
Sm 0.0808 0.4110 0.2424

Computed properties:
SG = C2/m

=====

No. 3
An optimized crystal structure of Tb2PrDy6Sc3. Source: Alexandria, functional PBE.

a = 6.0659 Å, b = 6.0659 Å, c = 11.5043 Å
α = 95.02°, β = 95.02°, γ = 119.96°
Sites, in units of the cell vectors:
Dy 0.4214 0.0876 0.2608
Dy 0.0876 0.4214 0.2608
Dy 0.7538 0.7538 0.2611
Dy 0.9124 0.5786 0.7392
Dy 0.2462 0.2462 0.7389
Dy 0.5786 0.9124 0.7392
Sc 0.5000 0.5000 0.5000
Pr 0.0000 0.0000 0.0000
Tb 0.6665 0.3335 0.0000
Tb 0.3335 0.6665 0.0000
Sc 0.1671 0.8329 0.5000
Sc 0.8329 0.1671 0.5000

Computed properties:
SG = C2/m

=====

No. 4
An optimized crystal structure of Tb2Pr6Dy3Sc. Source: Alexandria, functional PBE.

a = 6.2783 Å, b = 6.2783 Å, c = 11.8170 Å
α = 95.07°, β = 95.07°, γ = 120.00°
Sites, in units of the cell vectors:
Pr 0.5875 0.9178 0.7523
Pr 0.7517 0.7517 0.2481
Pr 0.2483 0.2483 0.7519
Sc 0.0000 0.0000 0.0000
Pr 0.9178 0.5875 0.7523
Dy 0.5000 0.5000 0.5000
Dy 0.1666 0.8334 0.5000
Pr 0.0822 0.4125 0.2477
Dy 0.8334 0.1666 0.5000
Tb 0.3333 0.6667 0.0000
Pr 0.4125 0.0822 0.2477
Tb 0.6667 0.3333 0.0000

Computed properties:
SG = C2/m

=====

No. 5
An optimized crystal structure of TbPr2Dy2Sc. Source: Alexandria, functional PBE.

a = 5.6819 Å, b = 6.2690 Å, c = 10.8596 Å
α = 90.00°, β = 90.00°, γ = 90.00°
Sites, in units of the cell vectors:
Tb 0.5000 0.1844 0.7425
Tb 0.5000 0.6844 0.2575
Dy 0.0000 0.3417 0.9097
Dy 0.5000 0.6646 0.5758
Dy 0.0000 0.8417 0.0903
Pr 0.5000 0.6725 0.9203
Pr 0.0000 0.3428 0.2579
Sc 0.0000 0.3396 0.5793
Pr 0.0000 0.8428 0.7421
Pr 0.5000 0.1725 0.0797
Dy 0.5000 0.1646 0.4242
Sc 0.0000 0.8396 0.4207

Computed properties:
SG = Pmc2_1

=====

No. 6
An optimized crystal structure of TbPrDy2Sc. Source: Alexandria, functional PBE.

a = 5.0030 Å, b = 7.8648 Å, c = 7.8777 Å
α = 89.63°, β = 90.00°, γ = 90.00°
Sites, in units of the cell vectors:
Tb 0.7500 0.0548 0.1523
Dy 0.7500 0.8408 0.5522
Sc 0.7500 0.4509 0.3504
Pr 0.2500 0.7452 0.2575
Dy 0.2500 0.3519 0.0476
Dy 0.7500 0.6481 0.9524
Dy 0.2500 0.1592 0.4478
Sc 0.2500 0.5491 0.6496
Pr 0.7500 0.2548 0.7425
Tb 0.2500 0.9452 0.8477

Computed properties:
SG = P2_1/m

=====

No. 7
An optimized crystal structure of Tb3PrDySc. Source: Alexandria, functional PBE.

a = 4.9916 Å, b = 7.8908 Å, c = 10.0331 Å
α = 90.00°, β = 90.00°, γ = 108.44°
Sites, in units of the cell vectors:
Pr 0.5027 0.0054 0.2500
Dy 0.0000 0.0000 0.5000
Tb 0.8300 0.6601 0.2500
Tb 0.3320 0.6640 0.5003
Tb 0.6680 0.3360 0.4997
Sc 0.1684 0.3367 0.2500
Dy 0.0000 0.0000 0.0000
Sc 0.8316 0.6633 0.7500
Tb 0.6680 0.3360 0.0003
Tb 0.3320 0.6640 0.9997
Pr 0.4973 0.9946 0.7500
Tb 0.1700 0.3399 0.7500

Computed properties:
SG = Cmcm

=====

No. 8
An optimized crystal structure of Tb2Pr2DySc. Source: Alexandria, functional PBE.

a = 5.6347 Å, b = 6.9246 Å, c = 9.7590 Å
α = 90.00°, β = 90.00°, γ = 90.00°
Sites, in units of the cell vectors:
Tb 0.5000 0.2576 0.3339
Sc 0.0000 0.0076 0.5000
Tb 0.0000 0.7576 0.1653
Pr 0.0000 0.7576 0.8131
Dy 0.5000 0.7576 0.3471
Dy 0.5000 0.2576 0.6529
Tb 0.5000 0.7576 0.6661
Sc 0.0000 0.5076 0.5000
Pr 0.5000 0.0076 0.0001
Pr 0.5000 0.5076 0.9999
Tb 0.0000 0.2576 0.8347
Pr 0.0000 0.2576 0.1869

Computed properties:
SG = Pmma

=====

Computed energy, in the same sequence as the records: -4.7814, -4.8179, -5.0084, -4.8161, -4.9079, -4.9449, -4.8951, -4.8624 eV per atom.
Computed DOS at the Fermi energy, in the same sequence as the records: 27.080, 17.184, 17.329, 13.400, 22.639, 15.987, 18.212, 18.800 states/eV per cell.